1.
First-principles (meta-GGA SCAN) data for MnFeHgCl2 at its PBEsol-relaxed geometry, as listed in the Alexandria database.

Output
The calculated total energy is -24.127 eV/atom.

Unit cell a=4.4787 b=4.4787 c=5.1221 alpha=90.00 beta=90.00 gamma=90.00
Last column: nearest neighbours and their distance in Å.
Fractional positions:
Mn1 0.0000 0.0000 0.0000  4 Cl 2.24
Fe1 0.0000 0.0000 0.5000  2 Mn 2.56
Hg1 0.5000 0.5000 0.5000  4 Fe 3.17, 8 Cl 3.40
Cl1 0.0000 0.5000 0.0000  2 Mn 2.24
Cl2 0.5000 0.0000 0.0000  2 Mn 2.24


2.
First-principles (meta-GGA SCAN) data for Ta2BeOsBr at its PBEsol-relaxed geometry, as listed in the Alexandria database.

Output
The calculated total energy is -44.627 eV/atom.

Unit cell a=4.6046 b=4.6046 c=3.9083 alpha=90.00 beta=90.00 gamma=90.00
Last column: nearest neighbours and their distance in Å.
Fractional positions:
Ta1 0.0000 0.5000 0.0000  2 Be 2.30
Ta2 0.5000 0.0000 0.0000  2 Be 2.30
Be1 0.0000 0.0000 0.0000  2 Os 1.95
Os1 0.0000 0.0000 0.5000  2 Be 1.95
Br1 0.5000 0.5000 0.5000  8 Ta 3.02, 4 Os 3.26


3.
First-principles (meta-GGA SCAN) data for LiIn3 at its PBEsol-relaxed geometry, as listed in the Alexandria database.

Output
The calculated total energy is -25.730 eV/atom.

Unit cell a=3.3566 b=3.3566 c=9.5167 alpha=90.00 beta=90.00 gamma=120.00
Last column: nearest neighbours and their distance in Å.
Fractional positions:
Li1 0.0000 0.0000 0.0000  6 In 2.96
In1 0.0000 0.0000 0.5000  12 In 3.18-3.36
In2 0.6667 0.3333 0.2349  3 Li 2.96, 3 In 3.18
In3 0.6667 0.3333 0.7651  3 Li 2.96, 3 In 3.18


Question: Among the records above, which one has the highest calculated total energy?
Answer: MnFeHgCl2


Question: Among the records above, which one has the lowest calculated total energy?
Answer: Ta2BeOsBr


Repeat the second record exactly.
First-principles (meta-GGA SCAN) data for Ta2BeOsBr at its PBEsol-relaxed geometry, as listed in the Alexandria database.

Output
The calculated total energy is -44.627 eV/atom.

Unit cell a=4.6046 b=4.6046 c=3.9083 alpha=90.00 beta=90.00 gamma=90.00
Last column: nearest neighbours and their distance in Å.
Fractional positions:
Ta1 0.0000 0.5000 0.0000  2 Be 2.30
Ta2 0.5000 0.0000 0.0000  2 Be 2.30
Be1 0.0000 0.0000 0.0000  2 Os 1.95
Os1 0.0000 0.0000 0.5000  2 Be 1.95
Br1 0.5000 0.5000 0.5000  8 Ta 3.02, 4 Os 3.26


Copy entry 1 word for word.
First-principles (meta-GGA SCAN) data for MnFeHgCl2 at its PBEsol-relaxed geometry, as listed in the Alexandria database.

Output
The calculated total energy is -24.127 eV/atom.

Unit cell a=4.4787 b=4.4787 c=5.1221 alpha=90.00 beta=90.00 gamma=90.00
Last column: nearest neighbours and their distance in Å.
Fractional positions:
Mn1 0.0000 0.0000 0.0000  4 Cl 2.24
Fe1 0.0000 0.0000 0.5000  2 Mn 2.56
Hg1 0.5000 0.5000 0.5000  4 Fe 3.17, 8 Cl 3.40
Cl1 0.0000 0.5000 0.0000  2 Mn 2.24
Cl2 0.5000 0.0000 0.0000  2 Mn 2.24